NaTmPb: optimized geometry, PBE.

```
3
Lattice="0.000 3.627 3.627 3.627 0.000 3.627 3.627 3.627 0.000" Properties=species:S:1:pos:R:3 pbc="T T T"
Na 1.813 1.813 1.813
Pb 5.440 5.440 5.440
Tm 0.000 0.000 0.000
```

Summary:
Spin magnetization (μB per formula unit): 0.0
Raw total energy (eV per atom): -3.032
SG: F-43m